DFT (PBE with a Hubbard U) results for a geometry-optimized Fe2BiPbO6 structure.

abc: 5.7033 5.7033 5.7033
angles: 58.96 58.96 58.96
Fractional coordinates of all 10 atoms:
Fe1 0.0000 0.0000 0.0000
Fe2 0.4948 0.4948 0.4948
Bi1 0.7213 0.7213 0.7213
Pb1 0.2239 0.2239 0.2239
O1 0.1726 0.7749 0.3371
O2 0.2812 0.6670 0.8437
O3 0.3371 0.1726 0.7749
O4 0.6670 0.8437 0.2812
O5 0.7749 0.3371 0.1726
O6 0.8437 0.2812 0.6670

Output
* magnetization: 0.92 μB/atom
* Fermi-level density of states: 2.0 states/eV per cell
* DFT total energy: -60.84 eV for the cell shown